The following is a GGA-PBE calculation of crystalline Al2TeW at its relaxed geometry, from Alexandria via LeMat-Bulk.

Lattice parameters (Å, degrees): 3.0167 3.0167 8.6411 90.00 90.00 90.03
With the nearest neighbours (Å) after each atom.
Positions (direct):
Al (0.0000, 0.0000, 0.5559)  4 W 2.71, 4 Al 3.02
W (0.5000, 0.5000, 0.7500)  8 Al 2.71, 4 W 3.02
Te (0.5000, 0.5000, 0.2500)  4 Te 3.02
Al (0.0000, 0.0000, 0.9441)  4 W 2.71, 4 Al 3.02

Output
Space-group type = P4/mmm, No. 123
ΔE_f (raw) = 0.314 eV per atom
Total DFT energy (no corrections) = -22.3 eV per cell